Entry a
TaIn2Re | PBEsol | optimized geometry

Cell and atoms, written as CIF:
```
data_TaIn2Re
_chemical_formula_sum 'Ta1 In2 Re1'
_symmetry_space_group_name_H-M 'P 1'
_symmetry_Int_Tables_number 1
_cell_length_a 4.6390
_cell_length_b 4.6390
_cell_length_c 4.6390
_cell_angle_alpha 60.00
_cell_angle_beta 60.00
_cell_angle_gamma 60.00
loop_
_symmetry_equiv_pos_as_xyz
'x,y,z'
loop_
_atom_site_label
_atom_site_type_symbol
_atom_site_fract_x
_atom_site_fract_y
_atom_site_fract_z
Ta1 Ta 0.0000 0.0000 0.0000
In1 In 0.2500 0.2500 0.2500
In2 In 0.7500 0.7500 0.7500
Re1 Re 0.5000 0.5000 0.5000
```

Entry b
TaIn2Re | PBEsol | optimized geometry

Cell and atoms, written as CIF:
```
data_TaIn2Re
_chemical_formula_sum 'Ta1 In2 Re1'
_symmetry_space_group_name_H-M 'P 1'
_symmetry_Int_Tables_number 1
_cell_length_a 2.8826
_cell_length_b 2.8826
_cell_length_c 8.6655
_cell_angle_alpha 90.00
_cell_angle_beta 90.00
_cell_angle_gamma 90.00
loop_
_symmetry_equiv_pos_as_xyz
'x,y,z'
loop_
_atom_site_label
_atom_site_type_symbol
_atom_site_fract_x
_atom_site_fract_y
_atom_site_fract_z
Ta1 Ta 0.0000 0.0000 0.0000
In1 In 0.5000 0.5000 0.2610
In2 In 0.5000 0.5000 0.7390
Re1 Re 0.0000 0.0000 0.5000
```

Going by the computed energies, the most stable comes first: entry b, entry a.